This record from the Alexandria database describes an optimized crystal structure of Ti2MnPt8. The functional is PBE.

Cell lengths 7.1688, 7.1688, 7.1688 Å; angles 146.80, 118.12, 72.06 degrees
Positions (direct):
Ti: 0.1908 0.1908 0.0000
Ti: 0.8092 0.8092 0.0000
Mn: 0.5000 0.5000 0.0000
Pt: 0.0682 0.3407 0.7275
Pt: 0.1939 0.0000 0.1939
Pt: 0.3508 0.8508 0.5000
Pt: 0.3868 0.6593 0.7275
Pt: 0.6132 0.3407 0.2725
Pt: 0.6492 0.1492 0.5000
Pt: 0.8061 0.0000 0.8061
Pt: 0.9318 0.6593 0.2725

As for the density: 16.23 Mg/m³. For the total energy, the calculation gives -79.94 eV for the cell shown. The value obtained for the calculated formation energy is -0.605 eV/atom. Its total magnetization is 3.9 Bohr magnetons per cell.

This record from the Alexandria database describes an optimized crystal structure of TiMn2Pt9. The functional is PBE.

Cell lengths 3.9384, 3.9384, 11.8060 Å; angles 90.00, 90.00, 90.00 degrees
Positions (direct):
Ti: 0.0000 0.0000 0.0000
Mn: 0.0000 0.0000 0.3356
Mn: 0.0000 0.0000 0.6644
Pt: 0.0000 0.5000 0.1646
Pt: 0.0000 0.5000 0.5000
Pt: 0.0000 0.5000 0.8354
Pt: 0.5000 0.0000 0.1646
Pt: 0.5000 0.0000 0.5000
Pt: 0.5000 0.0000 0.8354
Pt: 0.5000 0.5000 0.0000
Pt: 0.5000 0.5000 0.3323
Pt: 0.5000 0.5000 0.6677

As for the density: 17.35 Mg/m³. For the total energy, the calculation gives -87.11 eV for the cell shown. The value obtained for the calculated formation energy is -0.542 eV/atom. Its total magnetization is 8.7 Bohr magnetons per cell.

This record from the Alexandria database describes an optimized crystal structure of Ti2MnPt9. The functional is PBE.

Cell lengths 3.9436, 3.9436, 11.8251 Å; angles 90.00, 90.00, 90.00 degrees
Positions (direct):
Ti: 0.0000 0.0000 0.1715
Ti: 0.0000 0.0000 0.8285
Mn: 0.0000 0.0000 0.5000
Pt: 0.0000 0.5000 0.0000
Pt: 0.0000 0.5000 0.3304
Pt: 0.0000 0.5000 0.6696
Pt: 0.5000 0.0000 0.0000
Pt: 0.5000 0.0000 0.3304
Pt: 0.5000 0.0000 0.6696
Pt: 0.5000 0.5000 0.1654
Pt: 0.5000 0.5000 0.5000
Pt: 0.5000 0.5000 0.8346

As for the density: 17.21 Mg/m³. For the total energy, the calculation gives -88.02 eV for the cell shown. The value obtained for the calculated formation energy is -0.725 eV/atom. Its total magnetization is 4.7 Bohr magnetons per cell.

This record from the Alexandria database describes an optimized crystal structure of Ti5MnPt8. The functional is PBE.

Cell lengths 6.6996, 6.6996, 6.6996 Å; angles 108.92, 108.92, 110.58 degrees
Positions (direct):
Ti: 0.0000 0.0000 0.0000
Ti: 0.1919 0.5313 0.9209
Ti: 0.4687 0.3896 0.6606
Ti: 0.6104 0.2710 0.0791
Ti: 0.7290 0.8081 0.3394
Mn: 0.2500 0.7500 0.5000
Pt: 0.1598 0.0928 0.7255
Pt: 0.3673 0.4343 0.2745
Pt: 0.4173 0.0135 0.2685
Pt: 0.5657 0.8402 0.9330
Pt: 0.7450 0.1488 0.7315
Pt: 0.8512 0.5827 0.5963
Pt: 0.9072 0.6327 0.0670
Pt: 0.9865 0.2550 0.4037

As for the density: 13.31 Mg/m³. For the total energy, the calculation gives -106.20 eV for the cell shown. The value obtained for the calculated formation energy is -0.659 eV/atom. Its total magnetization is 3.9 Bohr magnetons per cell.

This record from the Alexandria database describes an optimized crystal structure of Ti6MnPt2. The functional is PBE.

Cell lengths 7.2892, 7.2892, 7.2892 Å; angles 145.65, 131.02, 61.18 degrees
Positions (direct):
Ti: 0.0825 0.3415 0.7410
Ti: 0.2334 0.0000 0.2334
Ti: 0.3996 0.6585 0.7410
Ti: 0.6004 0.3415 0.2590
Ti: 0.7666 0.0000 0.7666
Ti: 0.9175 0.6585 0.2590
Mn: 0.0000 0.5000 0.5000
Pt: 0.3331 0.8331 0.5000
Pt: 0.6669 0.1669 0.5000

As for the density: 7.45 Mg/m³. For the total energy, the calculation gives -71.01 eV for the cell shown. The value obtained for the calculated formation energy is -0.266 eV/atom. Its total magnetization is 0.0 Bohr magnetons per cell.

This record from the Alexandria database describes an optimized crystal structure of Ti2MnPt2. The functional is PBE.

Cell lengths 6.9838, 6.9838, 6.9838 Å; angles 149.91, 149.91, 43.08 degrees
Positions (direct):
Ti: 0.1015 0.1015 0.0000
Ti: 0.8985 0.8985 0.0000
Mn: 0.5000 0.5000 0.0000
Pt: 0.2500 0.7500 0.5000
Pt: 0.7500 0.2500 0.5000

As for the density: 10.51 Mg/m³. For the total energy, the calculation gives -36.79 eV for the cell shown. The value obtained for the calculated formation energy is 0.050 eV/atom. Its total magnetization is 0.0 Bohr magnetons per cell.

This record from the Alexandria database describes an optimized crystal structure of TiMn2Pt3. The functional is PBE.

Cell lengths 6.3591, 6.3591, 7.4572 Å; angles 90.00, 90.00, 143.21 degrees
Positions (direct):
Ti: 0.1569 0.8431 0.0000
Ti: 0.8431 0.1569 0.0000
Mn: 0.1696 0.8304 0.5000
Mn: 0.5000 0.5000 0.0000
Mn: 0.5000 0.5000 0.5000
Mn: 0.8304 0.1696 0.5000
Pt: 0.0000 0.0000 0.2565
Pt: 0.0000 0.0000 0.7435
Pt: 0.3330 0.6670 0.2443
Pt: 0.3330 0.6670 0.7557
Pt: 0.6670 0.3330 0.2443
Pt: 0.6670 0.3330 0.7557

As for the density: 13.66 Mg/m³. For the total energy, the calculation gives -95.75 eV for the cell shown. The value obtained for the calculated formation energy is -0.587 eV/atom. Its total magnetization is 15.0 Bohr magnetons per cell.

This record from the Alexandria database describes an optimized crystal structure of TiMn3Pt12. The functional is PBE.

Cell lengths 3.9351, 3.9351, 15.7391 Å; angles 90.00, 90.00, 90.00 degrees
Positions (direct):
Ti: 0.0000 0.0000 0.0000
Mn: 0.0000 0.0000 0.2517
Mn: 0.0000 0.0000 0.5000
Mn: 0.0000 0.0000 0.7483
Pt: 0.0000 0.5000 0.1235
Pt: 0.0000 0.5000 0.3752
Pt: 0.0000 0.5000 0.6248
Pt: 0.0000 0.5000 0.8765
Pt: 0.5000 0.0000 0.1235
Pt: 0.5000 0.0000 0.3752
Pt: 0.5000 0.0000 0.6248
Pt: 0.5000 0.0000 0.8765
Pt: 0.5000 0.5000 0.0000
Pt: 0.5000 0.5000 0.2495
Pt: 0.5000 0.5000 0.5000
Pt: 0.5000 0.5000 0.7505

As for the density: 17.40 Mg/m³. For the total energy, the calculation gives -115.90 eV for the cell shown. The value obtained for the calculated formation energy is -0.500 eV/atom. Its total magnetization is 13.2 Bohr magnetons per cell.

This record from the Alexandria database describes an optimized crystal structure of TiMn2Pt2. The functional is PBE.

Cell lengths 7.2666, 7.2666, 2.6870 Å; angles 90.00, 90.00, 90.00 degrees
Positions (direct):
Ti: 0.0000 0.0000 0.0000
Ti: 0.5000 0.5000 0.0000
Mn: 0.1058 0.3942 0.0000
Mn: 0.3942 0.8942 0.0000
Mn: 0.6058 0.1058 0.0000
Mn: 0.8942 0.6058 0.0000
Pt: 0.1884 0.6884 0.5000
Pt: 0.3116 0.1884 0.5000
Pt: 0.6884 0.8116 0.5000
Pt: 0.8116 0.3116 0.5000

As for the density: 12.82 Mg/m³. For the total energy, the calculation gives -78.45 eV for the cell shown. The value obtained for the calculated formation energy is -0.182 eV/atom. Its total magnetization is 0.0 Bohr magnetons per cell.

This record from the Alexandria database describes an optimized crystal structure of TiMn4Pt. The functional is PBE.

Cell lengths 4.7199, 4.7199, 4.7199 Å; angles 60.00, 60.00, 60.00 degrees
Positions (direct):
Ti: 0.0000 0.0000 0.0000
Mn: 0.3765 0.3765 0.3765
Mn: 0.3765 0.3765 0.8705
Mn: 0.3765 0.8705 0.3765
Mn: 0.8705 0.3765 0.3765
Pt: 0.7500 0.7500 0.7500

As for the density: 10.33 Mg/m³. For the total energy, the calculation gives -51.75 eV for the cell shown. The value obtained for the calculated formation energy is -0.189 eV/atom. Its total magnetization is 0.0 Bohr magnetons per cell.

This record from the Alexandria database describes an optimized crystal structure of TiMn2Pt5. The functional is PBE.

Cell lengths 5.5346, 11.0578, 3.9835 Å; angles 90.00, 90.00, 90.00 degrees
Positions (direct):
Ti: 0.0000 0.0000 0.0000
Ti: 0.5000 0.5000 0.0000
Mn: 0.2142 0.3648 0.5000
Mn: 0.2858 0.8648 0.5000
Mn: 0.7142 0.1352 0.5000
Mn: 0.7858 0.6352 0.5000
Pt: 0.0000 0.5000 0.0000
Pt: 0.0296 0.7594 0.0000
Pt: 0.2240 0.1134 0.5000
Pt: 0.2760 0.6134 0.5000
Pt: 0.4704 0.2594 0.0000
Pt: 0.5000 0.0000 0.0000
Pt: 0.5296 0.7406 0.0000
Pt: 0.7240 0.3866 0.5000
Pt: 0.7760 0.8866 0.5000
Pt: 0.9704 0.2406 0.0000

As for the density: 15.44 Mg/m³. For the total energy, the calculation gives -122.10 eV for the cell shown. The value obtained for the calculated formation energy is -0.576 eV/atom. Its total magnetization is 16.4 Bohr magnetons per cell.

This record from the Alexandria database describes an optimized crystal structure of TiMnTl2Pt. The functional is PBE.

Cell lengths 5.2133, 5.2133, 5.0254 Å; angles 90.00, 90.00, 90.00 degrees
Positions (direct):
Ti: 0.0000 0.0000 0.0000
Mn: 0.5000 0.5000 0.0000
Tl: 0.0000 0.5000 0.5000
Tl: 0.5000 0.0000 0.5000
Pt: 0.0000 0.0000 0.5000

As for the density: 8.59 Mg/m³. For the total energy, the calculation gives -24.55 eV for the cell shown. The value obtained for the calculated formation energy is 0.657 eV/atom. Its total magnetization is 2.6 Bohr magnetons per cell.